# PBE Mn2VTe6, optimized geometry
data_Mn2VTe6
_cell_length_a 5.892
_cell_length_b 11.670
_cell_length_c 11.670
_cell_angle_alpha 120.00
_cell_angle_beta 90.00
_cell_angle_gamma 90.00
_symmetry_space_group_name_H-M 'P 1'
_symmetry_Int_Tables_number 1
loop_
_symmetry_equiv_pos_as_xyz
'x,y,z'
loop_
_atom_site_label
_atom_site_type_symbol
_atom_site_fract_x
_atom_site_fract_y
_atom_site_fract_z
Te1 Te 0.737 0.448 0.896
Te2 Te 0.263 0.896 0.448
Te3 Te 0.755 0.779 0.558
Te4 Te 0.257 0.888 0.112
Te5 Te 0.245 0.221 0.442
Te6 Te 0.245 0.558 0.779
Te7 Te 0.257 0.224 0.112
Te8 Te 0.743 0.112 0.888
Te9 Te 0.245 0.221 0.779
Te10 Te 0.743 0.776 0.888
Te11 Te 0.263 0.552 0.104
Te12 Te 0.737 0.104 0.552
Te13 Te 0.743 0.112 0.224
Te14 Te 0.737 0.448 0.552
Te15 Te 0.755 0.779 0.221
Te16 Te 0.257 0.888 0.776
Te17 Te 0.263 0.552 0.448
Te18 Te 0.755 0.442 0.221
Mn1 Mn 0.000 0.666 0.666
Mn2 Mn 0.000 0.334 0.334
Mn3 Mn 0.000 0.000 0.666
Mn4 Mn 0.000 0.666 0.000
Mn5 Mn 0.000 0.334 0.000
Mn6 Mn 0.000 0.000 0.334
V1 V 0.501 0.667 0.333
V2 V 0.000 0.000 0.000
V3 V 0.499 0.333 0.667
# Formation energy from raw total energies   -0.1975 eV/atom

# PBE Mn2VTe5, optimized geometry
data_Mn2VTe5
_cell_length_a 5.182
_cell_length_b 6.234
_cell_length_c 7.611
_cell_angle_alpha 81.87
_cell_angle_beta 70.10
_cell_angle_gamma 65.44
_symmetry_space_group_name_H-M 'P 1'
_symmetry_Int_Tables_number 1
loop_
_symmetry_equiv_pos_as_xyz
'x,y,z'
loop_
_atom_site_label
_atom_site_type_symbol
_atom_site_fract_x
_atom_site_fract_y
_atom_site_fract_z
Mn1 Mn 0.802 0.500 0.895
Mn2 Mn 0.198 0.500 0.105
Te1 Te 0.198 0.803 0.801
Te2 Te 0.802 0.197 0.199
Te3 Te 0.000 0.500 0.500
Te4 Te 0.501 0.197 0.801
Te5 Te 0.499 0.803 0.199
V1 V 0.500 0.500 0.500
# Formation energy from raw total energies   0.0237 eV/atom

# PBE MnV2Te6, optimized geometry
data_MnV2Te6
_cell_length_a 6.048
_cell_length_b 11.606
_cell_length_c 11.606
_cell_angle_alpha 120.00
_cell_angle_beta 90.00
_cell_angle_gamma 90.00
_symmetry_space_group_name_H-M 'P 1'
_symmetry_Int_Tables_number 1
loop_
_symmetry_equiv_pos_as_xyz
'x,y,z'
loop_
_atom_site_label
_atom_site_type_symbol
_atom_site_fract_x
_atom_site_fract_y
_atom_site_fract_z
V1 V 0.000 0.349 0.349
V2 V 0.000 0.349 0.000
V3 V 0.000 0.000 0.651
V4 V 0.000 0.000 0.349
V5 V 0.000 0.651 0.651
V6 V 0.000 0.651 0.000
Te1 Te 0.238 0.554 0.777
Te2 Te 0.238 0.223 0.777
Te3 Te 0.762 0.446 0.223
Te4 Te 0.285 0.552 0.103
Te5 Te 0.240 0.886 0.771
Te6 Te 0.285 0.897 0.448
Te7 Te 0.715 0.103 0.552
Te8 Te 0.240 0.886 0.114
Te9 Te 0.715 0.448 0.897
Te10 Te 0.240 0.229 0.114
Te11 Te 0.285 0.552 0.448
Te12 Te 0.760 0.114 0.886
Te13 Te 0.760 0.771 0.886
Te14 Te 0.715 0.448 0.552
Te15 Te 0.760 0.114 0.229
Te16 Te 0.238 0.223 0.446
Te17 Te 0.762 0.777 0.554
Te18 Te 0.762 0.777 0.223
Mn1 Mn 0.486 0.333 0.667
Mn2 Mn 0.514 0.667 0.333
Mn3 Mn 0.000 0.000 0.000
# Formation energy from raw total energies   -0.2233 eV/atom

# PBE MnVTe3, optimized geometry
data_MnVTe3
_cell_length_a 5.261
_cell_length_b 5.261
_cell_length_c 5.261
_cell_angle_alpha 90.00
_cell_angle_beta 90.00
_cell_angle_gamma 90.00
_symmetry_space_group_name_H-M 'P 1'
_symmetry_Int_Tables_number 1
loop_
_symmetry_equiv_pos_as_xyz
'x,y,z'
loop_
_atom_site_label
_atom_site_type_symbol
_atom_site_fract_x
_atom_site_fract_y
_atom_site_fract_z
Te1 Te 0.500 0.000 0.000
Te2 Te 0.000 0.000 0.500
Te3 Te 0.000 0.500 0.000
V1 V 0.000 0.000 0.000
Mn1 Mn 0.500 0.500 0.500
# Formation energy from raw total energies   0.4868 eV/atom

Question: What is the formation energy from raw total energies in the third record?
Answer: -0.2233 eV/atom